Entry 1:
Compound: La2TcNi
Source: Alexandria via LeMat-Bulk
Functional: GGA-PBE
Structure: optimized geometry

```
4
Lattice="-0.9870 1.2670 -3.1150 -3.0243 -1.7539 0.2449 -3.3604 6.3011 3.6276" Properties=species:S:1:pos:R:3 pbc="T T T"
Tc -4.2524 3.9694 0.9903
Ni -1.9005 3.5635 2.0515
La -3.1829 1.9641 -0.1642
La -3.0766 5.7688 3.3211
```

***

Entry 2:
8
Lattice="5.5972 0.0000 0.0000 0.0000 5.5972 0.0000 2.7986 2.7986 2.8317" Properties=species:S:1:pos:R:3 comment="GGA-PBE TiB2P, optimized geometry" de_polymorph_mev_per_atom=0 pbc="T T T"
B 3.8889 1.3993 0.7079
B 1.7083 4.1979 0.7079
B 6.9965 6.6875 2.1237
B 4.1979 4.5069 2.1237
Ti 0.0000 0.0000 0.0000
Ti 5.5972 2.7986 1.4158
P 2.7986 5.5972 1.4158
P 2.7986 2.7986 0.0000

***

Entry 3:
4
Lattice="3.4414 0.8429 3.3875 -0.5426 -1.7708 4.5385 2.8558 -3.6669 1.5579" Properties=species:S:1:pos:R:3 comment="GGA-PBE LaTa2Nb, optimized geometry" de_polymorph_mev_per_atom=0 pbc="T T T"
Ta 4.3159 -3.4461 7.1129
Ta 1.4386 -1.1487 2.3710
La 2.8773 -2.2974 4.7419
Nb 0.0000 0.0000 0.0000

***

no.,E_tot (eV per atom),theoretical density (g cm⁻³),formation enthalpy at 0 K (meV per atom)
1,-6.397,7.3,104
2,-6.582,3.8,83
3,-9.161,11.8,514